1.
This record from Alexandria via LeMat-Bulk describes a relaxed structure of TcTeSI2. The functional is GGA-PBE.

Output
VASP energy in eV/cell: -16.97
D(E_F) in states/eV per atom: 1.52
Space-group type: No. 123
Raw formation energy in meV per atom: 752
Spin magnetization in μB per formula unit: 0.00

Cell lengths 5.3861, 5.3861, 5.1345 Å; angles 90.00, 90.00, 90.00 degrees
Element x y z (fractional)
Tc  0.0000  0.0000  0.0000
Te  0.0000  0.0000  0.5000
S  0.5000  0.5000  0.5000
I  0.0000  0.5000  0.0000
I  0.5000  0.0000  0.0000

2.
This record from Alexandria via LeMat-Bulk describes a relaxed structure of Tl2TcSI. The functional is GGA-PBE.

Output
VASP energy in eV/cell: -19.53
D(E_F) in states/eV per atom: 0.76
Space-group type: No. 123
Raw formation energy in meV per atom: 250
Spin magnetization in μB per formula unit: 2.42

Cell lengths 6.2247, 6.2247, 4.4035 Å; angles 90.00, 90.00, 90.00 degrees
Element x y z (fractional)
Tl  0.0000  0.5000  0.0000
Tl  0.5000  0.0000  0.0000
Tc  0.0000  0.0000  0.5000
S  0.0000  0.0000  0.0000
I  0.5000  0.5000  0.5000

3.
This record from Alexandria via LeMat-Bulk describes a relaxed structure of ZrTcS2I. The functional is GGA-PBE.

Output
VASP energy in eV/cell: -28.87
D(E_F) in states/eV per atom: 0.76
Space-group type: No. 123
Raw formation energy in meV per atom: -30
Spin magnetization in μB per formula unit: 0.00

Cell lengths 4.5224, 4.5224, 5.5336 Å; angles 90.00, 90.00, 90.00 degrees
Element x y z (fractional)
Zr  0.0000  0.0000  0.0000
Tc  0.0000  0.0000  0.5000
S  0.0000  0.5000  0.5000
S  0.5000  0.0000  0.5000
I  0.5000  0.5000  0.0000